# ErReAsO, relaxed, DFT PBE-GGA
# * calculated density: 11.286 g cm⁻³
# * raw total energy: -66.1 eV per cell
# * energy relative to the lowest polymorph listed for this composition: 0.0 meV/atom
data_ErReAsO
_cell_length_a 3.939
_cell_length_b 3.939
_cell_length_c 8.427
_cell_angle_alpha 90.00
_cell_angle_beta 90.00
_cell_angle_gamma 90.00
_symmetry_space_group_name_H-M 'P 4/n m m'
_symmetry_Int_Tables_number 129
loop_
_symmetry_equiv_pos_as_xyz
'x,y,z'
'-x,-y,-z'
'-y+1/2,x,z'
'y+1/2,-x,-z'
'-x+1/2,-y+1/2,z'
'x+1/2,y+1/2,-z'
'y,-x+1/2,z'
'-y,x+1/2,-z'
'x+1/2,-y,-z'
'-x+1/2,y,z'
'-y,-x,-z'
'y,x,z'
'-x,y+1/2,-z'
'x,-y+1/2,z'
'y+1/2,x+1/2,-z'
'-y+1/2,-x+1/2,z'
loop_
_atom_site_label
_atom_site_type_symbol
_atom_site_fract_x
_atom_site_fract_y
_atom_site_fract_z
_atom_site_occupancy
Er1 Er 0.250 0.250 0.126 1
Re1 Re 0.250 0.750 0.500 1
As1 As 0.250 0.250 0.687 1
O1 O 0.250 0.750 0.000 1